1.
Density functional theory data (PBE-GGA) for a relaxed structure of LaPBr.

Computed properties:
Magnetic moment, Bohr magnetons per cell: 0.000
Formation energy without anion corrections, kJ per mole of atoms: -148
Distance to the lowest polymorph of the same formula, meV/atom: 0

Geometry as CIF:
```
data_LaPBr
_chemical_formula_sum 'La2 P2 Br2'
_space_group_name_H-M_alt 'P 1'
_space_group_IT_number 1
_cell_length_a 4.9193
_cell_length_b 4.6101
_cell_length_c 11.1042
_cell_angle_alpha 80.38
_cell_angle_beta 77.20
_cell_angle_gamma 57.75
loop_
_space_group_symop_operation_xyz
'x,y,z'
loop_
_atom_site_label
_atom_site_type_symbol
_atom_site_fract_x
_atom_site_fract_y
_atom_site_fract_z
_atom_site_occupancy
La1 La 0.1724 0.9814 0.6738 1
La2 La 0.8276 0.0186 0.3262 1
P1 P 0.4360 0.7029 0.4252 1
P2 P 0.5640 0.2971 0.5748 1
Br1 Br 0.7626 0.6461 0.8287 1
Br2 Br 0.2374 0.3539 0.1713 1
```

***

2.
Density functional theory data (PBE-GGA) for a relaxed structure of La2PBr.

Computed properties:
Magnetic moment, Bohr magnetons per cell: 0.000
Formation energy without anion corrections, kJ per mole of atoms: -143
D(E_F), states/eV per cell: 2.60

Geometry as CIF:
```
data_La2PBr
_chemical_formula_sum 'La2 P1 Br1'
_space_group_name_H-M_alt 'P 1'
_space_group_IT_number 1
_cell_length_a 6.0373
_cell_length_b 4.2853
_cell_length_c 4.2876
_cell_angle_alpha 90.01
_cell_angle_beta 90.00
_cell_angle_gamma 90.00
loop_
_space_group_symop_operation_xyz
'x,y,z'
loop_
_atom_site_label
_atom_site_type_symbol
_atom_site_fract_x
_atom_site_fract_y
_atom_site_fract_z
_atom_site_occupancy
La1 La 0.0000 0.8747 0.8753 1
La2 La 0.5000 0.3752 0.3748 1
P1 P 0.0000 0.3748 0.3752 1
Br1 Br 0.5000 0.8753 0.8747 1
```

***

3.
Density functional theory data (PBE-GGA) for a relaxed structure of LaPBr2.

Computed properties:
Magnetic moment, Bohr magnetons per cell: 0.000
Formation energy without anion corrections, kJ per mole of atoms: -119
Distance to the lowest polymorph of the same formula, meV/atom: 0

Geometry as CIF:
```
data_LaPBr2
_chemical_formula_sum 'La1 P1 Br2'
_space_group_name_H-M_alt 'P 1'
_space_group_IT_number 1
_cell_length_a 8.0059
_cell_length_b 8.0059
_cell_length_c 4.4700
_cell_angle_alpha 87.58
_cell_angle_beta 87.58
_cell_angle_gamma 29.33
loop_
_space_group_symop_operation_xyz
'x,y,z'
loop_
_atom_site_label
_atom_site_type_symbol
_atom_site_fract_x
_atom_site_fract_y
_atom_site_fract_z
_atom_site_occupancy
P1 P 0.2500 0.2500 0.2500 1
Br1 Br 0.3938 0.3938 0.5324 1
Br2 Br 0.1062 0.1062 0.9676 1
La1 La 0.7500 0.7500 0.7500 1
```

***

4.
Density functional theory data (PBE-GGA) for a relaxed structure of La4PBr.

Computed properties:
Magnetic moment, Bohr magnetons per cell: 0.001
Formation energy without anion corrections, kJ per mole of atoms: 0
D(E_F), states/eV per cell: 5.61

Geometry as CIF:
```
data_La4PBr
_chemical_formula_sum 'La4 P1 Br1'
_space_group_name_H-M_alt 'P 1'
_space_group_IT_number 1
_cell_length_a 6.3756
_cell_length_b 6.3756
_cell_length_c 6.3756
_cell_angle_alpha 60.00
_cell_angle_beta 60.00
_cell_angle_gamma 60.00
loop_
_space_group_symop_operation_xyz
'x,y,z'
loop_
_atom_site_label
_atom_site_type_symbol
_atom_site_fract_x
_atom_site_fract_y
_atom_site_fract_z
_atom_site_occupancy
La1 La 0.3767 0.3767 0.3767 1
La2 La 0.8700 0.3767 0.3767 1
La3 La 0.3767 0.8700 0.3767 1
La4 La 0.3767 0.3767 0.8700 1
Br1 Br 0.0000 0.0000 0.0000 1
P1 P 0.7500 0.7500 0.7500 1
```

***

5.
Density functional theory data (PBE-GGA) for a relaxed structure of La4P3Br.

Computed properties:
Magnetic moment, Bohr magnetons per cell: 0.000
Formation energy without anion corrections, kJ per mole of atoms: -156
D(E_F), states/eV per cell: 3.20

Geometry as CIF:
```
data_La4P3Br
_chemical_formula_sum 'La4 P3 Br1'
_space_group_name_H-M_alt 'P 1'
_space_group_IT_number 1
_cell_length_a 4.2658
_cell_length_b 7.4383
_cell_length_c 7.4383
_cell_angle_alpha 70.90
_cell_angle_beta 90.00
_cell_angle_gamma 90.00
loop_
_space_group_symop_operation_xyz
'x,y,z'
loop_
_atom_site_label
_atom_site_type_symbol
_atom_site_fract_x
_atom_site_fract_y
_atom_site_fract_z
_atom_site_occupancy
P1 P 0.0000 0.5001 0.5000 1
P2 P 0.0000 0.0001 0.0000 1
P3 P 0.5000 0.0001 0.5000 1
La1 La 0.4999 0.7591 0.2590 1
La2 La 0.5000 0.2411 0.7410 1
La3 La 0.0000 0.7709 0.7292 1
La4 La 0.0000 0.2294 0.2707 1
Br1 Br 0.5000 0.5001 0.0000 1
```

***

6.
Density functional theory data (PBE-GGA) for a relaxed structure of LaP4Br.

Computed properties:
Magnetic moment, Bohr magnetons per cell: 0.000
Formation energy without anion corrections, kJ per mole of atoms: -33
D(E_F), states/eV per cell: 3.09

Geometry as CIF:
```
data_LaP4Br
_chemical_formula_sum 'La1 P4 Br1'
_space_group_name_H-M_alt 'P 1'
_space_group_IT_number 1
_cell_length_a 5.5649
_cell_length_b 5.5649
_cell_length_c 5.5649
_cell_angle_alpha 60.00
_cell_angle_beta 60.00
_cell_angle_gamma 60.00
loop_
_space_group_symop_operation_xyz
'x,y,z'
loop_
_atom_site_label
_atom_site_type_symbol
_atom_site_fract_x
_atom_site_fract_y
_atom_site_fract_z
_atom_site_occupancy
P1 P 0.3947 0.8159 0.3947 1
P2 P 0.8159 0.3947 0.3947 1
P3 P 0.3947 0.3947 0.3947 1
P4 P 0.3947 0.3947 0.8159 1
La1 La 0.0000 0.0000 0.0000 1
Br1 Br 0.7500 0.7500 0.7500 1
```

***

7.
Density functional theory data (PBE-GGA) for a relaxed structure of La2PBr.

Computed properties:
Magnetic moment, Bohr magnetons per cell: 0.005
Formation energy without anion corrections, kJ per mole of atoms: -101
D(E_F), states/eV per cell: 3.51

Geometry as CIF:
```
data_La2PBr
_chemical_formula_sum 'La2 P1 Br1'
_space_group_name_H-M_alt 'P 1'
_space_group_IT_number 1
_cell_length_a 7.1227
_cell_length_b 7.1227
_cell_length_c 7.1227
_cell_angle_alpha 145.44
_cell_angle_beta 145.44
_cell_angle_gamma 49.69
loop_
_space_group_symop_operation_xyz
'x,y,z'
loop_
_atom_site_label
_atom_site_type_symbol
_atom_site_fract_x
_atom_site_fract_y
_atom_site_fract_z
_atom_site_occupancy
La1 La 0.2500 0.7500 0.5000 1
La2 La 0.0000 0.0000 0.0000 1
Br1 Br 0.7500 0.2500 0.5000 1
P1 P 0.5000 0.5000 0.0000 1
```

***

8.
Density functional theory data (PBE-GGA) for a relaxed structure of La2PBr.

Computed properties:
Magnetic moment, Bohr magnetons per cell: 1.035
Formation energy without anion corrections, kJ per mole of atoms: -37
D(E_F), states/eV per cell: 3.88

Geometry as CIF:
```
data_La2PBr
_chemical_formula_sum 'La2 P1 Br1'
_space_group_name_H-M_alt 'P 1'
_space_group_IT_number 1
_cell_length_a 5.2421
_cell_length_b 5.2421
_cell_length_c 5.2421
_cell_angle_alpha 60.00
_cell_angle_beta 60.00
_cell_angle_gamma 60.00
loop_
_space_group_symop_operation_xyz
'x,y,z'
loop_
_atom_site_label
_atom_site_type_symbol
_atom_site_fract_x
_atom_site_fract_y
_atom_site_fract_z
_atom_site_occupancy
P1 P 0.7500 0.7500 0.7500 1
La1 La 0.0000 0.0000 0.0000 1
La2 La 0.2500 0.2500 0.2500 1
Br1 Br 0.5000 0.5000 0.5000 1
```

***

9.
Density functional theory data (PBE-GGA) for a relaxed structure of LaPBr2.

Computed properties:
Magnetic moment, Bohr magnetons per cell: 0.000
Formation energy without anion corrections, kJ per mole of atoms: -80
D(E_F), states/eV per cell: 0.01
Distance to the lowest polymorph of the same formula, meV/atom: 406

Geometry as CIF:
```
data_LaPBr2
_chemical_formula_sum 'La2 P2 Br4'
_space_group_name_H-M_alt 'P 1'
_space_group_IT_number 1
_cell_length_a 4.6998
_cell_length_b 4.6998
_cell_length_c 10.6785
_cell_angle_alpha 77.29
_cell_angle_beta 77.29
_cell_angle_gamma 90.00
loop_
_space_group_symop_operation_xyz
'x,y,z'
loop_
_atom_site_label
_atom_site_type_symbol
_atom_site_fract_x
_atom_site_fract_y
_atom_site_fract_z
_atom_site_occupancy
La1 La 0.7500 0.2500 0.5000 1
La2 La 0.0000 0.0000 0.0000 1
Br1 Br 0.6220 0.1250 0.2500 1
Br2 Br 0.3750 0.3780 0.7500 1
Br3 Br 0.1280 0.6250 0.2500 1
Br4 Br 0.8750 0.8720 0.7500 1
P1 P 0.2500 0.7500 0.5000 1
P2 P 0.5000 0.5000 0.0000 1
```

***

10.
Density functional theory data (PBE-GGA) for a relaxed structure of LaPBr2.

Computed properties:
Magnetic moment, Bohr magnetons per cell: 2.000
Formation energy without anion corrections, kJ per mole of atoms: -65
D(E_F), states/eV per cell: 4.03
Distance to the lowest polymorph of the same formula, meV/atom: 566

Geometry as CIF:
```
data_LaPBr2
_chemical_formula_sum 'La1 P1 Br2'
_space_group_name_H-M_alt 'P 1'
_space_group_IT_number 1
_cell_length_a 5.2725
_cell_length_b 5.2725
_cell_length_c 5.2725
_cell_angle_alpha 60.00
_cell_angle_beta 60.00
_cell_angle_gamma 60.00
loop_
_space_group_symop_operation_xyz
'x,y,z'
loop_
_atom_site_label
_atom_site_type_symbol
_atom_site_fract_x
_atom_site_fract_y
_atom_site_fract_z
_atom_site_occupancy
Br1 Br 0.7500 0.7500 0.7500 1
Br2 Br 0.2500 0.2500 0.2500 1
P1 P 0.0000 0.0000 0.0000 1
La1 La 0.5000 0.5000 0.5000 1
```

***

11.
Density functional theory data (PBE-GGA) for a relaxed structure of La2PBr.

Computed properties:
Magnetic moment, Bohr magnetons per cell: 3.846
Formation energy without anion corrections, kJ per mole of atoms: -101
D(E_F), states/eV per cell: 5.28

Geometry as CIF:
```
data_La2PBr
_chemical_formula_sum 'La4 P2 Br2'
_space_group_name_H-M_alt 'P 1'
_space_group_IT_number 1
_cell_length_a 6.8327
_cell_length_b 6.8327
_cell_length_c 8.2449
_cell_angle_alpha 65.52
_cell_angle_beta 65.52
_cell_angle_gamma 90.00
loop_
_space_group_symop_operation_xyz
'x,y,z'
loop_
_atom_site_label
_atom_site_type_symbol
_atom_site_fract_x
_atom_site_fract_y
_atom_site_fract_z
_atom_site_occupancy
P1 P 0.5000 0.5000 0.0000 1
P2 P 0.2500 0.7500 0.5000 1
Br1 Br 0.0000 0.0000 0.0000 1
Br2 Br 0.7500 0.2500 0.5000 1
La1 La 0.1631 0.6250 0.2500 1
La2 La 0.5869 0.1250 0.2500 1
La3 La 0.3750 0.4131 0.7500 1
La4 La 0.8750 0.8369 0.7500 1
```

***

12.
Density functional theory data (PBE-GGA) for a relaxed structure of LaPBr2.

Computed properties:
Magnetic moment, Bohr magnetons per cell: 0.000
Formation energy without anion corrections, kJ per mole of atoms: -91
D(E_F), states/eV per cell: 1.44
Distance to the lowest polymorph of the same formula, meV/atom: 298

Geometry as CIF:
```
data_LaPBr2
_chemical_formula_sum 'La1 P1 Br2'
_space_group_name_H-M_alt 'P 1'
_space_group_IT_number 1
_cell_length_a 7.5755
_cell_length_b 7.5755
_cell_length_c 7.5755
_cell_angle_alpha 149.16
_cell_angle_beta 145.95
_cell_angle_gamma 46.59
loop_
_space_group_symop_operation_xyz
'x,y,z'
loop_
_atom_site_label
_atom_site_type_symbol
_atom_site_fract_x
_atom_site_fract_y
_atom_site_fract_z
_atom_site_occupancy
La1 La 0.4262 0.4262 0.0000 1
P1 P 0.2795 0.7795 0.5000 1
Br1 Br 0.7780 0.2780 0.5000 1
Br2 Br 0.0163 0.0163 0.0000 1
```

***

13.
Density functional theory data (PBE-GGA) for a relaxed structure of LaPBr2.

Computed properties:
Magnetic moment, Bohr magnetons per cell: 2.029
Formation energy without anion corrections, kJ per mole of atoms: -64
D(E_F), states/eV per cell: 3.33
Distance to the lowest polymorph of the same formula, meV/atom: 568

Geometry as CIF:
```
data_LaPBr2
_chemical_formula_sum 'La1 P1 Br2'
_space_group_name_H-M_alt 'P 1'
_space_group_IT_number 1
_cell_length_a 5.2886
_cell_length_b 5.2886
_cell_length_c 5.2886
_cell_angle_alpha 60.00
_cell_angle_beta 60.00
_cell_angle_gamma 60.00
loop_
_space_group_symop_operation_xyz
'x,y,z'
loop_
_atom_site_label
_atom_site_type_symbol
_atom_site_fract_x
_atom_site_fract_y
_atom_site_fract_z
_atom_site_occupancy
Br1 Br 0.0000 0.0000 0.0000 1
Br2 Br 0.2500 0.2500 0.2500 1
La1 La 0.5000 0.5000 0.5000 1
P1 P 0.7500 0.7500 0.7500 1
```